(1)
The following is a GGA-PBE calculation of Zn4SnMo2 after structural relaxation, from the Alexandria database.

* E_form: 1.02 eV per atom
* crystal system: tetragonal

Structure (CIF):
```
data_Zn4SnMo2
_chemical_formula_sum 'Zn8 Sn2 Mo4'
_space_group_name_H-M_alt 'I 4/m m m'
_space_group_IT_number 139
_space_group_name_Hall '-I 4 2'
_cell_length_a 5.1597
_cell_length_b 5.1597
_cell_length_c 13.0523
_cell_angle_alpha 90.00
_cell_angle_beta 90.00
_cell_angle_gamma 90.00
loop_
_atom_site_label
_atom_site_fract_x
_atom_site_fract_y
_atom_site_fract_z
_atom_site_occupancy
Zn1 0.0000 0.0000 0.2102 1
Zn2 0.0000 0.5000 0.0000 1
Sn1 0.0000 0.0000 0.0000 1
Mo1 0.0000 0.0000 0.4178 1
```


(2)
The following is a GGA-PBE calculation of Li2AuCl4 after structural relaxation, from the Alexandria database.

* uncorrected formation energy: -0.992 eV/atom
* crystal system: tetragonal

Structure (CIF):
```
data_Li2AuCl4
_chemical_formula_sum 'Li8 Au4 Cl16'
_space_group_name_H-M_alt 'I 41/a'
_space_group_IT_number 88
_cell_length_a 6.8309
_cell_length_b 6.8309
_cell_length_c 14.2132
_cell_angle_alpha 90.00
_cell_angle_beta 90.00
_cell_angle_gamma 90.00
loop_
_space_group_symop_operation_xyz
'x,y,z'
'-x,-y,-z'
'-y+3/4,x+1/4,z+1/4'
'y+3/4,-x+1/4,-z+1/4'
'-x+1/2,-y,z+1/2'
'x+1/2,y,-z+1/2'
'y+3/4,-x+3/4,z+3/4'
'-y+3/4,x+3/4,-z+3/4'
'x+1/2,y+1/2,z+1/2'
'-x+1/2,-y+1/2,-z+1/2'
'-y+1/4,x+3/4,z+3/4'
'y+1/4,-x+3/4,-z+3/4'
'-x,-y+1/2,z'
'x,y+1/2,-z'
'y+1/4,-x+1/4,z+1/4'
'-y+1/4,x+1/4,-z+1/4'
loop_
_atom_site_label
_atom_site_fract_x
_atom_site_fract_y
_atom_site_fract_z
_atom_site_occupancy
Li1 0.0000 0.0000 0.0000 1
Au1 0.0000 0.2500 0.6250 1
Cl1 0.2170 0.0269 0.8657 1
```